The following is a DFT calculation (PBE-GGA) of a geometry-optimized Sm3Pt3Au2 structure. Values from VASP.

Summary:
The crystal system is hexagonal. Its total magnetization is 0.0 μB/f.u. The value obtained for the energy of formation from the pure elements is -7.144 eV/f.u.

```
&SYSTEM
  ibrav = 0, nat = 16, ntyp = 3
/
ATOMIC_SPECIES
Au 196.97 Au.upf
Pt 195.08 Pt.upf
Sm 150.36 Sm.upf
CELL_PARAMETERS angstrom
-5.4639 -1.5335 -1.1793
1.1301 -7.3922 4.3764
-2.8704 7.0697 4.1055
ATOMIC_POSITIONS crystal
Au 0.5000 0.3333 0.6667
Au 0.5000 0.6667 0.3333
Pt 0.2500 0.0000 0.3530
Au 0.0000 0.3333 0.6667
Sm 0.2500 0.6872 0.0000
Pt 0.2500 0.6470 0.6470
Au 0.0000 0.6667 0.3333
Pt 0.7500 0.0000 0.6470
Pt 0.2500 0.3530 0.0000
Pt 0.7500 0.6470 0.0000
Sm 0.7500 0.0000 0.3128
Sm 0.2500 0.3128 0.3128
Sm 0.7500 0.3128 0.0000
Pt 0.7500 0.3530 0.3530
Sm 0.7500 0.6872 0.6872
Sm 0.2500 0.0000 0.6872
```